! CaTc3Pd | Alexandria | PBE | optimized geometry; values from VASP
! - energy above the lowest structure with this stoichiometry (meV/atom) = 0
! - formation energy (eV per atom) = 1.66
! - energy (eV per atom) = -6.00
! - SG = Pm-3m, No. 221
! - N(E_F) (states/eV per cell) = 10.45
&SYSTEM
  ibrav = 0, nat = 5, ntyp = 3
/
ATOMIC_SPECIES
Tc 98.00 Tc.upf
Pd 106.42 Pd.upf
Ca 40.08 Ca.upf
CELL_PARAMETERS angstrom
-1.539 3.221 -3.196
-3.770 0.971 2.794
2.525 3.412 2.222
ATOMIC_POSITIONS crystal
Tc 0.500 0.000 0.000
Tc 0.000 0.000 0.500
Tc 0.000 0.500 0.000
Pd 0.000 0.000 0.000
Ca 0.500 0.500 0.500